The following is a PBE calculation of a relaxed structure of BaTbIn2, from Alexandria via LeMat-Bulk.

Properties
Total magnetic moment: 0.00 μB per formula unit
Formation energy: -1.7 eV per formula unit
Space-group type: P4/mmm, No. 123

Cell lengths 3.978, 3.978, 8.179 Å; angles 90.00, 90.00, 90.00 degrees
Fractional positions:
1 Tb 0.500 0.500 0.000
2 Ba 0.500 0.500 0.500
3 In 0.000 0.000 0.794
4 In 0.000 0.000 0.206

---

The following is a PBE calculation of a relaxed structure of Sc3CoMo, from Alexandria via LeMat-Bulk.

Properties
Total magnetic moment: 0.00 μB per formula unit
Formation energy: 2.1 eV per formula unit
Space-group type: Pm-3m, No. 221
Energy relative to the lowest polymorph listed for this composition: 0.000 eV per atom

Cell lengths 4.695, 4.695, 4.695 Å; angles 90.00, 90.00, 90.00 degrees
Fractional positions:
1 Sc 0.000 0.500 0.000
2 Sc 0.000 0.000 0.500
3 Sc 0.500 0.000 0.000
4 Mo 0.500 0.500 0.500
5 Co 0.000 0.000 0.000

---

The following is a PBE calculation of a relaxed structure of InSbSe3, from Alexandria via LeMat-Bulk.

Properties
Total magnetic moment: 0.00 μB per formula unit
Formation energy without anion corrections: -0.390 eV per atom
Space-group type: Pnma, No. 62

Cell lengths 4.081, 9.960, 14.170 Å; angles 90.00, 90.00, 90.00 degrees
Fractional positions:
1 Sb 0.750 0.971 0.365
2 Sb 0.250 0.029 0.635
3 Sb 0.750 0.471 0.135
4 Sb 0.250 0.529 0.865
5 Se 0.250 0.310 0.200
6 Se 0.750 0.690 0.800
7 Se 0.250 0.810 0.300
8 Se 0.750 0.190 0.700
9 Se 0.250 0.661 0.027
10 Se 0.750 0.339 0.973
11 Se 0.250 0.161 0.473
12 Se 0.750 0.839 0.527
13 Se 0.750 0.494 0.382
14 Se 0.250 0.506 0.618
15 Se 0.750 0.994 0.118
16 Se 0.250 0.006 0.882
17 In 0.750 0.356 0.547
18 In 0.250 0.644 0.453
19 In 0.750 0.856 0.953
20 In 0.250 0.144 0.047

---

The following is a PBE calculation of a relaxed structure of SmScAu, from Alexandria via LeMat-Bulk.

Properties
Total magnetic moment: 0.00 μB per formula unit
Formation energy: -1.8 eV per formula unit
Space-group type: Amm2, No. 38
Energy relative to the lowest polymorph listed for this composition: 0.003 eV per atom

Cell lengths 7.305, 8.784, 8.784 Å; angles 67.07, 65.43, 65.43 degrees
Fractional positions:
1 Sm 0.162 0.046 0.546
2 Sm 0.754 0.954 0.454
3 Sm 0.345 0.750 0.250
4 Sm 0.345 0.250 0.750
5 Sm 0.754 0.454 0.954
6 Sm 0.162 0.546 0.046
7 Sc 0.009 0.000 0.000
8 Sc 0.009 0.500 0.500
9 Sc 0.753 0.372 0.372
10 Sc 0.498 0.628 0.628
11 Sc 0.498 0.128 0.128
12 Sc 0.753 0.872 0.872
13 Au 0.754 0.250 0.750
14 Au 0.754 0.750 0.250
15 Au 0.086 0.167 0.167
16 Au 0.420 0.833 0.833
17 Au 0.420 0.333 0.333
18 Au 0.086 0.667 0.667

---

The following is a PBE calculation of a relaxed structure of Cs2CeNp3O12, from Alexandria via LeMat-Bulk.

Properties
Total magnetic moment: 3.12 μB per formula unit
Formation energy without anion corrections: -2.791 eV per atom
Space-group type: R-3m, No. 166

Cell lengths 7.892, 7.892, 7.892 Å; angles 60.68, 60.68, 60.68 degrees
Fractional positions:
1 Cs 0.622 0.622 0.622
2 Cs 0.378 0.378 0.378
3 Ce 0.000 0.000 0.000
4 Np 0.500 0.000 0.000
5 Np 0.000 0.500 0.000
6 Np 0.000 0.000 0.500
7 O 0.311 0.311 0.931
8 O 0.929 0.929 0.336
9 O 0.336 0.929 0.929
10 O 0.931 0.311 0.311
11 O 0.929 0.336 0.929
12 O 0.311 0.931 0.311
13 O 0.689 0.689 0.069
14 O 0.071 0.071 0.664
15 O 0.664 0.071 0.071
16 O 0.069 0.689 0.689
17 O 0.071 0.664 0.071
18 O 0.689 0.069 0.689

---

The following is a PBE calculation of a relaxed structure of SbTe2PdN, from Alexandria via LeMat-Bulk.

Properties
Total magnetic moment: 2.90 μB per formula unit
Formation energy without anion corrections: 1.298 eV per atom
Space-group type: P4/mmm, No. 123
Energy relative to the lowest polymorph listed for this composition: 0.708 eV per atom

Cell lengths 5.409, 5.409, 5.155 Å; angles 90.00, 90.00, 90.00 degrees
Fractional positions:
1 Sb 0.000 0.000 0.500
2 Te 0.000 0.500 0.000
3 Te 0.500 0.000 0.000
4 Pd 0.000 0.000 0.000
5 N 0.500 0.500 0.500

---

The following is a PBE calculation of a relaxed structure of UMn4P12, from Alexandria via LeMat-Bulk.

Properties
Total magnetic moment: 1.99 μB per formula unit
Formation energy: -7.7 eV per formula unit
Space-group type: Im-3, No. 204

Cell lengths 6.813, 6.813, 6.813 Å; angles 109.47, 109.47, 109.47 degrees
Fractional positions:
1 U 0.000 0.000 0.000
2 Mn 0.000 0.500 0.000
3 Mn 0.500 0.000 0.000
4 Mn 0.500 0.500 0.500
5 Mn 0.000 0.000 0.500
6 P 0.852 0.350 0.202
7 P 0.350 0.497 0.148
8 P 0.798 0.148 0.650
9 P 0.350 0.202 0.852
10 P 0.202 0.852 0.350
11 P 0.650 0.503 0.852
12 P 0.497 0.148 0.350
13 P 0.503 0.852 0.650
14 P 0.650 0.798 0.148
15 P 0.852 0.650 0.503
16 P 0.148 0.350 0.497
17 P 0.148 0.650 0.798

---

The following is a PBE calculation of a relaxed structure of Na2TlPtN, from Alexandria via LeMat-Bulk.

Properties
Total magnetic moment: 0.00 μB per formula unit
Formation energy without anion corrections: -0.075 eV per atom
Space-group type: P4/mmm, No. 123

Cell lengths 5.125, 5.125, 3.816 Å; angles 90.00, 90.00, 90.00 degrees
Fractional positions:
1 Na 0.000 0.500 0.000
2 Na 0.500 0.000 0.000
3 Tl 0.500 0.500 0.500
4 Pt 0.000 0.000 0.500
5 N 0.000 0.000 0.000

---

The following is a PBE calculation of a relaxed structure of NbPdSe2, from Alexandria via LeMat-Bulk.

Properties
Total magnetic moment: 0.00 μB per formula unit
Formation energy without anion corrections: -0.493 eV per atom
Space-group type: R-3m, No. 166
Energy relative to the lowest polymorph listed for this composition: 0.088 eV per atom

Cell lengths 8.566, 8.566, 8.566 Å; angles 22.67, 22.67, 22.67 degrees
Fractional positions:
1 Nb 0.500 0.500 0.500
2 Se 0.903 0.903 0.903
3 Se 0.097 0.097 0.097
4 Pd 0.000 0.000 0.000

---

The following is a PBE calculation of a relaxed structure of BaHoGa2, from Alexandria via LeMat-Bulk.

Properties
Total magnetic moment: 0.00 μB per formula unit
Formation energy: -1.8 eV per formula unit
Space-group type: P4/mmm, No. 123
Energy relative to the lowest polymorph listed for this composition: 0.000 eV per atom

Cell lengths 3.792, 3.792, 7.710 Å; angles 90.00, 90.00, 90.00 degrees
Fractional positions:
1 Ho 0.500 0.500 0.000
2 Ga 0.000 0.000 0.804
3 Ga 0.000 0.000 0.196
4 Ba 0.500 0.500 0.500

---

The following is a PBE calculation of a relaxed structure of Hf2GaSeBr, from Alexandria via LeMat-Bulk.

Properties
Total magnetic moment: 0.00 μB per formula unit
Formation energy without anion corrections: 0.512 eV per atom
Space-group type: P4/mmm, No. 123

Cell lengths 4.996, 5.314, 4.996 Å; angles 90.00, 90.00, 90.00 degrees
Fractional positions:
1 Ga 0.000 0.500 0.000
2 Hf 0.000 0.000 0.500
3 Hf 0.500 0.000 0.000
4 Se 0.000 0.000 0.000
5 Br 0.500 0.500 0.500

---

The following is a PBE calculation of a relaxed structure of ZnCdCuI2, from Alexandria via LeMat-Bulk.

Properties
Total magnetic moment: 0.00 μB per formula unit
Formation energy without anion corrections: 0.493 eV per atom
Space-group type: P4/mmm, No. 123

Cell lengths 5.984, 5.149, 5.984 Å; angles 90.00, 90.00, 90.00 degrees
Fractional positions:
1 I 0.000 0.000 0.500
2 I 0.500 0.000 0.000
3 Zn 0.000 0.500 0.000
4 Cu 0.500 0.500 0.500
5 Cd 0.000 0.000 0.000